(1)
First-principles (PBE) data for a relaxed structure of La2Pm2Nd7, as listed in Alexandria.

a b c (Å): 6.2213 8.2962 8.2962
angles (deg): 90.19 74.30 74.30
Element x y z (fractional)
Nd (0.8299, 0.4084, 0.9464)
Nd (0.1701, 0.0536, 0.5916)
Nd (0.5930, 0.7656, 0.7656)
Nd (0.1701, 0.5916, 0.0536)
Nd (0.4070, 0.2344, 0.2344)
Nd (0.0000, 0.0000, 0.0000)
Nd (0.8299, 0.9464, 0.4084)
Pm (0.1935, 0.5835, 0.5835)
Pm (0.8065, 0.4165, 0.4165)
La (0.5000, 0.2172, 0.7828)
La (0.5000, 0.7828, 0.2172)

Output
crystal system: monoclinic
relative energy among the computed polymorphs: 8 meV/atom
space-group type: No. 12

---

(2)
First-principles (PBE) data for a relaxed structure of FeSn2Sb, as listed in Alexandria.

a b c (Å): 5.4086 5.4086 8.8012
angles (deg): 72.11 72.11 90.00
Site moments in Bohr magnetons follow the coordinates.
Element x y z (fractional)
Sb (0.0000, 0.0000, 0.0000)  0.01
Sb (0.7500, 0.2500, 0.5000)  0.01
Sn (0.8750, 0.7921, 0.7500)  -0.08
Sn (0.5421, 0.1250, 0.2500)  -0.08
Sn (0.2079, 0.6250, 0.2500)  -0.08
Sn (0.3750, 0.4579, 0.7500)  -0.08
Fe (0.5000, 0.5000, 0.0000)  2.35
Fe (0.2500, 0.7500, 0.5000)  2.35

Output
E_form (uncorrected): 1.8 eV per formula unit
crystal system: tetragonal
space-group type: No. 122